The following is a DFT calculation (PBE-GGA) of a geometry-optimized NdTmCoBr structure.

The value obtained for the uncorrected formation energy is -0.707 eV/atom. The calculation puts the magnetic moment at 0.00 μB per formula unit. The density of states at the Fermi level is 0.7 states/eV/f.u. Its volume is 25.29 Å³/atom.

a = 3.8850 Å, b = 3.8850 Å, c = 23.2052 Å
α = 90.00°, β = 90.00°, γ = 120.00°
Space group R3m (No. 160, hexagonal axes)
Symmetry-distinct sites (fractional):
Nd  0.0000  0.0000  0.0000
Tm  0.0000  0.0000  0.7930
Co  0.0000  0.0000  0.3989
Br  0.0000  0.0000  0.2248